Entry from Alexandria via LeMat-Bulk: an optimized crystal structure of SmAlZn2 (PBE-GGA).

Results
**Symmetry**: No. 225
**Energy of formation**: -0.292 eV per atom
**Fermi-level density of states**: 1.548 states/eV/f.u.
**Total energy**: -12.18 eV for the cell shown

```
data_SmAlZn2
_chemical_formula_sum 'Sm1 Al1 Zn2'
_symmetry_space_group_name_H-M 'P 1'
_symmetry_Int_Tables_number 1
_cell_length_a 4.784
_cell_length_b 4.784
_cell_length_c 4.784
_cell_angle_alpha 60.00
_cell_angle_beta 60.00
_cell_angle_gamma 60.00
loop_
_symmetry_equiv_pos_as_xyz
'x,y,z'
loop_
_atom_site_label
_atom_site_type_symbol
_atom_site_fract_x
_atom_site_fract_y
_atom_site_fract_z
Zn1 Zn 0.250 0.250 0.250
Zn2 Zn 0.750 0.750 0.750
Al1 Al 0.500 0.500 0.500
Sm1 Sm 0.000 0.000 0.000
```